# 1
VASP calculation (PBE) on a geometry-optimized Cr2WCl structure.

Unit cell a=3.0330 b=3.1250 c=6.9868 alpha=90.00 beta=90.00 gamma=90.00
With the nearest neighbours (Å) after each atom.
Space group Pmmm (No. 47)
Inequivalent atoms, fractional coordinates:
Cr 0.0000 0.0000 0.2062  2 Cl 2.55, 4 W 2.61
W 0.5000 0.5000 0.0000  8 Cr 2.61
Cl 0.5000 0.0000 0.5000  4 Cr 2.55

Calculated values
- magnetization (Bohr magnetons per cell) = 4.2
- ΔE_f (raw) (eV/f.u.) = 0.9
- total energy (eV for the cell shown) = -33.116
- density of states at the Fermi level (states/eV per cell) = 2.70

***

# 2
VASP calculation (PBE) on a geometry-optimized TlRe2W structure.

Unit cell a=3.1457 b=4.5186 c=4.7460 alpha=90.00 beta=90.00 gamma=90.00
With the nearest neighbours (Å) after each atom.
Space group Pmmm (No. 47)
Inequivalent atoms, fractional coordinates:
Tl 0.0000 0.0000 0.0000  4 Re 2.75, 4 W 2.85
Re 0.0000 0.5000 0.5000  4 W 2.75, 4 Re 2.85
Re 0.5000 0.5000 0.0000  4 Tl 2.75, 4 Re 2.85
W 0.5000 0.0000 0.5000  4 Re 2.75, 4 Tl 2.85

Calculated values
- formation energy from the elements (meV/atom) = 1013
- magnetization (Bohr magnetons per cell) = 0.0
- total energy (eV for the cell shown) = -36.163
- density of states at the Fermi level (states/eV per cell) = 4.66

***

# 3
VASP calculation (PBE) on a geometry-optimized CsMgPb structure.

Unit cell a=5.0804 b=5.0804 c=6.1855 alpha=90.00 beta=90.00 gamma=120.00
With the nearest neighbours (Å) after each atom.
Space group P3m1 (No. 156)
Inequivalent atoms, fractional coordinates:
Cs 0.0000 0.0000 0.0000  6 Pb 4.26-4.27, 6 Mg 4.26
Mg 0.6667 0.3333 0.5002  3 Pb 2.93
Pb 0.3333 0.6667 0.4993  3 Mg 2.93

Calculated values
- formation energy from the elements (meV/atom) = 8
- magnetization (Bohr magnetons per cell) = 0.7
- total energy (eV for the cell shown) = -6.131
- density of states at the Fermi level (states/eV per cell) = 2.42

***

# 4
VASP calculation (PBE) on a geometry-optimized La3Nd4Y3 structure.

Unit cell a=3.8730 b=13.6316 c=13.5275 alpha=90.00 beta=90.00 gamma=90.00
With the nearest neighbours (Å) after each atom.
Space group Amm2 (No. 38)
Inequivalent atoms, fractional coordinates:
La 0.0000 0.0000 0.0000  6 Nd 3.37-3.50
La 0.5000 0.2449 0.4186  4 Nd 3.69-3.85, 4 La 3.87-4.13, 6 Y 4.00-4.06
Nd 0.5000 0.0000 0.5430  6 Y 3.36-3.46, 1 Nd 3.43, 2 La 3.74
Nd 0.5000 0.0000 0.7963  2 La 3.37, 1 Nd 3.43, 4 Y 3.47
Nd 0.5000 0.1289 0.1721  4 Y 3.36-3.47, 3 La 3.50-3.69, 1 Nd 3.51
Y 0.0000 0.0000 0.3404  6 Nd 3.36-3.47
Y 0.0000 0.1694 0.6694  6 Nd 3.36-3.47

Calculated values
- formation energy from the elements (meV/atom) = 83
- magnetization (Bohr magnetons per cell) = 0.0
- total energy (eV for the cell shown) = -104.835
- density of states at the Fermi level (states/eV per cell) = 25.71

***

# 5
VASP calculation (PBE) on a geometry-optimized CrMoOs2W structure.

Unit cell a=4.6661 b=4.6661 c=4.3936 alpha=90.00 beta=90.00 gamma=90.00
With the nearest neighbours (Å) after each atom.
Space group P4/mmm (No. 123)
Inequivalent atoms, fractional coordinates:
Cr 0.0000 0.0000 0.0000  2 W 2.20
Mo 0.5000 0.5000 0.0000  8 Os 3.20, 4 Cr 3.30
Os 0.0000 0.5000 0.5000  2 W 2.33
W 0.0000 0.0000 0.5000  2 Cr 2.20, 4 Os 2.33

Calculated values
- formation energy from the elements (meV/atom) = 2221
- magnetization (Bohr magnetons per cell) = 0.0
- total energy (eV for the cell shown) = -44.761
- density of states at the Fermi level (states/eV per cell) = 9.47

***

# 6
VASP calculation (PBE) on a geometry-optimized HfAu3N structure.

Unit cell a=5.3283 b=5.3283 c=5.3283 alpha=90.00 beta=90.00 gamma=90.00
With the nearest neighbours (Å) after each atom.
Space group Pm-3m (No. 221)
Inequivalent atoms, fractional coordinates:
Hf 0.0000 0.0000 0.0000  6 Au 2.66
Au 0.0000 0.0000 0.5000  2 Hf 2.66
N 0.5000 0.5000 0.5000  12 Au 3.77

Calculated values
- magnetization (Bohr magnetons per cell) = 2.7
- ΔE_f (raw) (eV/f.u.) = 8.0
- total energy (eV for the cell shown) = -20.094
- density of states at the Fermi level (states/eV per cell) = 3.08

***

# 7
VASP calculation (PBE) on a geometry-optimized BSbAs3 structure.

Unit cell a=4.5170 b=4.5170 c=4.5170 alpha=90.00 beta=90.00 gamma=90.00
With the nearest neighbours (Å) after each atom.
Space group Pm-3m (No. 221)
Inequivalent atoms, fractional coordinates:
B 0.0000 0.0000 0.0000  6 As 2.26
Sb 0.5000 0.5000 0.5000  12 As 3.19
As 0.0000 0.0000 0.5000  2 B 2.26

Calculated values
- magnetization (Bohr magnetons per cell) = 0.0
- ΔE_f (raw) (eV/f.u.) = 3.4
- total energy (eV for the cell shown) = -21.324
- density of states at the Fermi level (states/eV per cell) = 3.16

***

# 8
VASP calculation (PBE) on a geometry-optimized MgNbGa3 structure.

Unit cell a=4.7749 b=4.7749 c=4.7749 alpha=90.00 beta=90.00 gamma=90.00
With the nearest neighbours (Å) after each atom.
Space group Pm-3m (No. 221)
Inequivalent atoms, fractional coordinates:
Mg 0.0000 0.0000 0.0000  6 Ga 2.39
Nb 0.5000 0.5000 0.5000  12 Ga 3.38
Ga 0.0000 0.0000 0.5000  2 Mg 2.39

Calculated values
- formation energy from the elements (meV/atom) = 1053
- magnetization (Bohr magnetons per cell) = 0.0
- total energy (eV for the cell shown) = -15.478
- density of states at the Fermi level (states/eV per cell) = 7.92

***

# 9
VASP calculation (PBE) on a geometry-optimized CdHg2Se structure.

Unit cell a=2.9988 b=2.9988 c=37.6440 alpha=90.00 beta=90.00 gamma=120.00
With the nearest neighbours (Å) after each atom.
Space group R-3m (No. 166, hexagonal axes)
Inequivalent atoms, fractional coordinates:
Cd 0.0000 0.0000 0.0000  6 Cd 3.00
Hg 0.0000 0.0000 0.2509  6 Hg 3.00
Se 0.0000 0.0000 0.5000  6 Se 3.00

Calculated values
- magnetization (Bohr magnetons per cell) = 0.0
- ΔE_f (raw) (eV/f.u.) = 0.7
- total energy (eV for the cell shown) = -12.949
- density of states at the Fermi level (states/eV per cell) = 5.80

***

# 10
VASP calculation (PBE) on a geometry-optimized CoAgBr2N structure.

Unit cell a=5.2042 b=5.2042 c=3.4409 alpha=90.00 beta=90.00 gamma=90.00
With the nearest neighbours (Å) after each atom.
Space group P4/mmm (No. 123)
Inequivalent atoms, fractional coordinates:
Co 0.0000 0.0000 0.0000  2 N 1.72
Ag 0.5000 0.5000 0.5000  8 Br 3.12, 2 Ag 3.44
Br 0.0000 0.5000 0.0000  2 Co 2.60
N 0.0000 0.0000 0.5000  2 Co 1.72

Calculated values
- magnetization (Bohr magnetons per cell) = 0.0
- ΔE_f (raw) (eV/f.u.) = 1.4
- total energy (eV for the cell shown) = -20.232
- density of states at the Fermi level (states/eV per cell) = 2.18

***

# 11
VASP calculation (PBE) on a geometry-optimized LiZn2Sb structure.

Unit cell a=3.1699 b=4.0132 c=5.8533 alpha=90.00 beta=90.00 gamma=90.00
With the nearest neighbours (Å) after each atom.
Space group Pmm2 (No. 25)
Inequivalent atoms, fractional coordinates:
Li 0.0000 0.0000 0.0000  1 Zn 2.63, 4 Sb 2.91
Zn 0.0000 0.0000 0.5512  1 Li 2.63, 4 Zn 2.79
Zn 0.5000 0.5000 0.7398  4 Zn 2.79, 2 Sb 2.91-2.95, 4 Li 2.98
Sb 0.5000 0.5000 0.2366  6 Zn 2.91-3.15, 4 Li 2.91, 2 Sb 3.17

Calculated values
- magnetization (Bohr magnetons per cell) = 0.0
- ΔE_f (raw) (eV/f.u.) = -0.4
- total energy (eV for the cell shown) = -8.953
- density of states at the Fermi level (states/eV per cell) = 1.08

***

# 12
VASP calculation (PBE) on a geometry-optimized NaCaCr2 structure.

Unit cell a=8.3637 b=8.3637 c=6.2296 alpha=90.00 beta=90.00 gamma=90.00
With the nearest neighbours (Å) after each atom.
Space group I-42d (No. 122)
Inequivalent atoms, fractional coordinates:
Na 0.0000 0.0000 0.0000  4 Cr 2.99, 2 Ca 3.11
Ca 0.0000 0.0000 0.5000  2 Na 3.11, 4 Cr 3.13
Cr 0.2373 0.2500 0.1250  2 Na 2.99, 2 Cr 3.12, 2 Ca 3.13

Calculated values
- formation energy from the elements (meV/atom) = 1079
- magnetization (Bohr magnetons per cell) = 37.3
- total energy (eV for the cell shown) = -73.005
- density of states at the Fermi level (states/eV per cell) = 13.42